The following is a PBE-GGA calculation of an optimized crystal structure of CaWSCl2, from Alexandria via LeMat-Bulk.

a b c (Å): 4.986 4.986 4.595
angles (deg): 90.00 90.00 90.00
Each line ends with the local moment (μB).
Fractional positions:
Ca  0.500  0.500  0.500  0.01
S  0.000  0.000  0.500  -0.01
W  0.000  0.000  0.000  0.43
Cl  0.000  0.500  0.000  0.01
Cl  0.500  0.000  0.000  0.01

The space group is P4/mmm, No. 123. The formation energy (no corrections) comes out at -0.481 eV/atom. The value obtained for the density of states at the Fermi level is 0.507 states/eV/atom.


The following is a PBE-GGA calculation of an optimized crystal structure of Ca2YSCl, from Alexandria via LeMat-Bulk.

a b c (Å): 5.114 7.041 5.114
angles (deg): 90.00 90.00 90.00
Each line ends with the local moment (μB).
Fractional positions:
Y  0.500  0.500  0.500  0.48
Ca  0.000  0.000  0.500  0.03
Ca  0.500  0.000  0.000  0.01
S  0.000  0.000  0.000  0.01
Cl  0.000  0.500  0.000  0.01

The space group is P4/mmm, No. 123. The formation energy (no corrections) comes out at -0.582 eV/atom. The value obtained for the density of states at the Fermi level is 1.039 states/eV/atom.


The following is a PBE-GGA calculation of an optimized crystal structure of CaYS2Cl, from Alexandria via LeMat-Bulk.

a b c (Å): 5.271 5.271 5.096
angles (deg): 90.00 90.00 90.00
Fractional positions:
Y  0.000  0.000  0.000
Ca  0.500  0.500  0.500
S  0.000  0.500  0.000
S  0.500  0.000  0.000
Cl  0.000  0.000  0.500

The space group is P4/mmm, No. 123. The formation energy (no corrections) comes out at -1.675 eV/atom.


The following is a PBE-GGA calculation of an optimized crystal structure of CaYS2Cl, from Alexandria via LeMat-Bulk.

a b c (Å): 5.200 5.200 4.857
angles (deg): 90.00 90.00 90.00
Fractional positions:
Y  0.500  0.500  0.500
Ca  0.000  0.000  0.000
S  0.000  0.500  0.000
S  0.500  0.000  0.000
Cl  0.000  0.000  0.500

The space group is P4/mmm, No. 123. The formation energy (no corrections) comes out at -1.177 eV/atom.


The following is a PBE-GGA calculation of an optimized crystal structure of CaYSCl2, from Alexandria via LeMat-Bulk.

a b c (Å): 5.246 5.246 5.305
angles (deg): 90.00 90.00 90.00
Each line ends with the local moment (μB).
Fractional positions:
Y  0.000  0.000  0.000  0.03
Ca  0.500  0.500  0.500  0.08
S  0.000  0.000  0.500  0.00
Cl  0.000  0.500  0.000  0.00
Cl  0.500  0.000  0.000  0.00

The space group is P4/mmm, No. 123. The formation energy (no corrections) comes out at -1.583 eV/atom. The value obtained for the density of states at the Fermi level is 0.659 states/eV/atom.


The following is a PBE-GGA calculation of an optimized crystal structure of CaYSCl2, from Alexandria via LeMat-Bulk.

a b c (Å): 5.050 5.050 5.487
angles (deg): 90.00 90.00 90.00
Each line ends with the local moment (μB).
Fractional positions:
Y  0.500  0.500  0.500  0.55
Ca  0.000  0.000  0.000  0.00
S  0.000  0.000  0.500  -0.01
Cl  0.000  0.500  0.000  0.01
Cl  0.500  0.000  0.000  0.01

The space group is P4/mmm, No. 123. The formation energy (no corrections) comes out at -1.313 eV/atom. The value obtained for the density of states at the Fermi level is 0.741 states/eV/atom.


The following is a PBE-GGA calculation of an optimized crystal structure of CaZn2SCl, from Alexandria via LeMat-Bulk.

a b c (Å): 6.181 5.079 6.181
angles (deg): 90.00 90.00 90.00
Each line ends with the local moment (μB).
Fractional positions:
S  0.000  0.500  0.000  0.19
Zn  0.000  0.000  0.500  0.01
Zn  0.500  0.000  0.000  0.03
Ca  0.000  0.000  0.000  0.00
Cl  0.500  0.500  0.500  0.22

The space group is P4/mmm, No. 123. The formation energy (no corrections) comes out at 0.072 eV/atom. The value obtained for the density of states at the Fermi level is 1.747 states/eV/atom.


The following is a PBE-GGA calculation of an optimized crystal structure of CaZrSCl2, from Alexandria via LeMat-Bulk.

a b c (Å): 5.011 5.011 5.075
angles (deg): 90.00 90.00 90.00
Each line ends with the local moment (μB).
Fractional positions:
Ca  0.500  0.500  0.500  0.01
S  0.000  0.000  0.500  0.00
Zr  0.000  0.000  0.000  0.11
Cl  0.000  0.500  0.000  0.00
Cl  0.500  0.000  0.000  0.00

The space group is P4/mmm, No. 123. The formation energy (no corrections) comes out at -1.275 eV/atom. The value obtained for the density of states at the Fermi level is 0.495 states/eV/atom.


The following is a PBE-GGA calculation of an optimized crystal structure of CaZrSCl2, from Alexandria via LeMat-Bulk.

a b c (Å): 5.003 5.003 5.475
angles (deg): 90.00 90.00 90.00
Each line ends with the local moment (μB).
Fractional positions:
Ca  0.000  0.000  0.000  0.00
S  0.000  0.000  0.500  -0.06
Zr  0.500  0.500  0.500  1.47
Cl  0.000  0.500  0.000  -0.01
Cl  0.500  0.000  0.000  -0.01

The space group is P4/mmm, No. 123. The formation energy (no corrections) comes out at -0.728 eV/atom. The value obtained for the density of states at the Fermi level is 1.509 states/eV/atom.


The following is a PBE-GGA calculation of an optimized crystal structure of CaSbCl, from Alexandria via LeMat-Bulk.

a b c (Å): 8.414 10.015 10.018
angles (deg): 146.18 136.56 21.93
Fractional positions:
Sb  0.000  0.753  0.252
Sb  0.000  0.247  0.748
Ca  0.042  0.306  0.153
Ca  0.958  0.694  0.847
Cl  0.162  0.059  0.279
Cl  0.838  0.941  0.721

The space group is P-1, No. 2. The formation energy (no corrections) comes out at -1.355 eV/atom. The value obtained for the density of states at the Fermi level is 0.461 states/eV/atom.


The following is a PBE-GGA calculation of an optimized crystal structure of CaSbCl2, from Alexandria via LeMat-Bulk.

a b c (Å): 3.328 3.328 12.204
angles (deg): 90.00 90.00 90.01
Fractional positions:
Sb  0.500  0.500  0.250
Ca  0.500  0.500  0.750
Cl  0.000  0.000  0.880
Cl  0.000  0.000  0.620

The space group is P4/mmm, No. 123. The formation energy (no corrections) comes out at -1.342 eV/atom. The value obtained for the density of states at the Fermi level is 0.389 states/eV/atom.


The following is a PBE-GGA calculation of an optimized crystal structure of CaSbCl2, from Alexandria via LeMat-Bulk.

a b c (Å): 5.751 3.714 5.265
angles (deg): 69.39 90.00 90.00
Fractional positions:
Sb  0.000  0.533  0.561
Ca  0.500  0.942  0.741
Cl  0.000  0.786  0.052
Cl  0.500  0.239  0.146

The space group is Pm, No. 6. The formation energy (no corrections) comes out at -1.212 eV/atom. The value obtained for the density of states at the Fermi level is 0.131 states/eV/atom.


The following is a PBE-GGA calculation of an optimized crystal structure of CaSbCl2, from Alexandria via LeMat-Bulk.

a b c (Å): 3.801 3.801 7.200
angles (deg): 90.00 90.00 90.00
Fractional positions:
Sb  0.000  0.000  0.495
Ca  0.500  0.500  0.845
Cl  0.000  0.000  0.934
Cl  0.500  0.500  0.226

The space group is P4mm, No. 99. The formation energy (no corrections) comes out at -1.067 eV/atom. The value obtained for the density of states at the Fermi level is 0.356 states/eV/atom.


The following is a PBE-GGA calculation of an optimized crystal structure of CaSbCl, from Alexandria via LeMat-Bulk.

a b c (Å): 5.234 5.234 5.234
angles (deg): 60.00 60.00 60.00
Each line ends with the local moment (μB).
Fractional positions:
Sb  0.500  0.500  0.500  0.62
Ca  0.750  0.750  0.750  0.10
Cl  0.000  0.000  0.000  0.20

The space group is F-43m, No. 216. The formation energy (no corrections) comes out at -0.615 eV/atom. The value obtained for the density of states at the Fermi level is 0.700 states/eV/atom.


The following is a PBE-GGA calculation of an optimized crystal structure of CaSb4Cl, from Alexandria via LeMat-Bulk.

a b c (Å): 6.299 6.299 6.299
angles (deg): 60.00 60.00 60.00
Fractional positions:
Ca  0.750  0.750  0.750
Sb  0.370  0.891  0.370
Sb  0.891  0.370  0.370
Sb  0.370  0.370  0.891
Sb  0.370  0.370  0.370
Cl  0.000  0.000  0.000

The space group is F-43m, No. 216. The formation energy (no corrections) comes out at -0.311 eV/atom. The value obtained for the density of states at the Fermi level is 0.690 states/eV/atom.